Here is crystalline NiC2O6 at its relaxed geometry from Alexandria. Energies are from GGA+U.

Calculated values
Total moment in μB/f.u.: 3.8
Energy in eV per cell: -108.5

a b c (Å): 5.283 5.283 9.832
angles (deg): 66.02 66.02 59.11
Positions (direct):
O 0.932 0.681 0.250
O 0.083 0.765 0.906
O 0.330 0.511 0.406
O 0.235 0.917 0.594
O 0.670 0.489 0.594
O 0.068 0.319 0.750
O 0.319 0.068 0.250
O 0.917 0.235 0.094
O 0.765 0.083 0.406
O 0.489 0.670 0.094
O 0.511 0.330 0.906
O 0.681 0.932 0.750
C 0.670 0.419 0.161
C 0.581 0.330 0.339
C 0.419 0.670 0.661
C 0.330 0.581 0.839
Ni 0.875 0.125 0.750
Ni 0.125 0.875 0.250